Co2PPt after structural relaxation, computed with PBE.

The space group is I-4m2 (No. 119) and the conventional cell measures 3.671, 3.671 and 7.306 Å, with angles of 90.00, 90.00 and 90.00 degrees. The inequivalent atoms are Co at (0.000, 0.000, 0.000), Co at (0.000, 0.500, 0.250), P at (0.000, 0.500, 0.750) and Pt at (0.000, 0.000, 0.500).

For the energy of formation from the pure elements, the calculation gives -0.020 eV/atom. The spin magnetization comes out at 0.71 μB per atom. The density of states at the Fermi level is 6.23 states/eV/cell.


Co2SiIr after structural relaxation, computed with PBE.

The space group is Cmm2 (No. 35) and the conventional cell measures 2.825, 4.553 and 7.910 Å, with angles of 90.00, 90.00 and 90.00 degrees. The inequivalent atoms are Co at (0.000, 0.000, 0.000), Co at (0.000, 0.500, 0.249), Si at (0.000, 0.000, 0.472) and Ir at (0.000, 0.500, 0.719).

The calculation puts the uncorrected formation energy at 0.10 eV per atom. The spin magnetization comes out at 0.75 μB per atom. The density of states at the Fermi level is 9.96 states/eV/cell.


Y4CrFe8 after structural relaxation, computed with PBE.

The space group is I4/mmm (No. 139) and the conventional cell measures 9.253, 9.253 and 5.204 Å, with angles of 90.00, 90.00 and 90.00 degrees. The inequivalent atoms are Y at (0.000, 0.316, 0.000), Cr at (0.000, 0.000, 0.000), Fe at (0.000, 0.184, 0.500) and Fe at (0.250, 0.250, 0.250).

For the energy of formation from the pure elements, the calculation gives 0.320 eV/atom. The spin magnetization comes out at 1.51 μB per atom. The density of states at the Fermi level is 26.53 states/eV/cell.


Be3Ir after structural relaxation, computed with PBE.

The space group is P4/mmm (No. 123) and the conventional cell measures 3.678, 3.678 and 2.904 Å, with angles of 90.00, 90.00 and 90.00 degrees. The inequivalent atoms are Be at (0.000, 0.000, 0.000), Be at (0.000, 0.500, 0.500) and Ir at (0.500, 0.500, 0.000).

For the energy of formation from the pure elements, the calculation gives -0.368 eV/atom. The spin magnetization comes out at 0.00 μB per atom. The density of states at the Fermi level is 1.34 states/eV/cell.


SrLa2As after structural relaxation, computed with PBE.

The space group is F-43m (No. 216) and the conventional cell measures 7.936, 7.936 and 7.936 Å, with angles of 90.00, 90.00 and 90.00 degrees. The inequivalent atoms are Sr at (0.000, 0.000, 0.000), La at (0.000, 0.000, 0.500), La at (0.250, 0.250, 0.750) and As at (0.250, 0.250, 0.250).

For the energy of formation from the pure elements, the calculation gives -0.087 eV/atom. The spin magnetization comes out at 0.87 μB per atom. The density of states at the Fermi level is 18.54 states/eV/cell.


Mg8Cd5Pb after structural relaxation, computed with PBE.

The space group is I-4 (No. 82) and the conventional cell measures 8.611, 8.611 and 8.895 Å, with angles of 90.00, 90.00 and 90.00 degrees. The inequivalent atoms are Mg at (0.071, 0.173, 0.339), Mg at (0.095, 0.331, 0.995), Cd at (0.000, 0.500, 0.250), Cd at (0.115, 0.280, 0.669) and Pb at (0.000, 0.000, 0.000).

For the energy of formation from the pure elements, the calculation gives -0.032 eV/atom. The spin magnetization comes out at 0.00 μB per atom. The density of states at the Fermi level is 7.67 states/eV/cell.


Ho5Tm2Sc after structural relaxation, computed with PBE.

The space group is I4/mcm (No. 140) and the conventional cell measures 8.841, 8.841 and 12.260 Å, with angles of 90.00, 90.00 and 90.00 degrees. The inequivalent atoms are Ho at (0.000, 0.000, 0.000), Ho at (0.153, 0.347, 0.165), Tm at (0.142, 0.358, 0.500) and Sc at (0.000, 0.000, 0.250).

For the energy of formation from the pure elements, the calculation gives 0.100 eV/atom. The spin magnetization comes out at 0.00 μB per atom. The density of states at the Fermi level is 34.68 states/eV/cell.


DyNi5H7 after structural relaxation, computed with PBE.

The space group is Cm (No. 8) and the conventional cell measures 5.407, 8.416 and 4.990 Å, with angles of 90.00, 117.65 and 90.00 degrees. The inequivalent atoms are Dy at (0.000, 0.000, 0.000), Ni at (0.112, 0.500, 0.388), Ni at (0.411, 0.276, 0.365), Ni at (0.421, 0.159, 0.836), H at (0.234, 0.302, 0.558), H at (0.244, 0.258, 0.992), H at (0.412, 0.000, 0.016), H at (0.439, 0.500, 0.433) and H at (0.481, 0.000, 0.638).

The calculation puts the total energy at -119.04 eV/cell. The spin magnetization comes out at 0.00 μB per atom. The density of states at the Fermi level is 6.73 states/eV/cell.